## GdLuOsPd (GGA-PBE)

Data for a relaxed structure of GdLuOsPd.

Cell: 4.8486 4.8486 4.8486 Å, 60.00 60.00 60.00°
Site moments in Bohr magnetons follow the coordinates.
Element x y z (fractional)
Gd 0.7500 0.7500 0.7500  7.01
Lu 0.2500 0.2500 0.2500  0.01
Os 0.5000 0.5000 0.5000  -0.07
Pd 0.0000 0.0000 0.0000  -0.01

Properties
formation enthalpy at 0 K = -2.21 eV per formula unit
electronic total energy = -9.309 eV per atom
M_tot = 7.0 μB per formula unit
SG = F-43m (216)
D(E_F) = 1.99 states/eV/cell